VASP calculation (PBE with a Hubbard U) on crystalline CrHgPF2 at its relaxed geometry.

Crystal system: tetragonal
Volume: 117.6 Å³/cell
Theoretical density: 4.5 g cm⁻³
Magnetization: 3.018 μB per cell
Raw total energy: -0.2625 Ry/atom

Lattice parameters (Å, degrees): 4.2016 4.2016 6.6640 90.00 90.00 90.00
With the nearest neighbours (Å) after each atom.
Positions (direct):
Cr 0.0000 0.0000 0.0000  4 P 2.97
Hg 0.0000 0.0000 0.5000  4 F 2.10
P 0.5000 0.5000 0.0000  4 Cr 2.97
F 0.0000 0.5000 0.5000  2 Hg 2.10
F 0.5000 0.0000 0.5000  2 Hg 2.10